Entry 1:
The following is a PBE calculation of a geometry-optimized Ca2W structure, from Alexandria via LeMat-Bulk.

Structure (CIF):
```
data_Ca2W
_chemical_formula_sum 'Ca6 W3'
_cell_length_a 9.3118
_cell_length_b 9.3118
_cell_length_c 2.9500
_cell_angle_alpha 90.00
_cell_angle_beta 90.00
_cell_angle_gamma 120.00
_symmetry_space_group_name_H-M 'P -6 2 m'
_symmetry_Int_Tables_number 189
_symmetry_space_group_name_Hall 'P -6 -2'
loop_
_atom_site_label
_atom_site_fract_x
_atom_site_fract_y
_atom_site_fract_z
Ca1 0.0000 0.3046 0.0000
Ca2 0.0000 0.6397 0.5000
W1 0.0000 0.0000 0.5000
W2 0.3333 0.6667 0.0000
```

Entry 2:
The following is a PBE calculation of a geometry-optimized Ca4W5 structure, from Alexandria via LeMat-Bulk.

Structure (CIF):
```
data_Ca4W5
_chemical_formula_sum 'Ca8 W10'
_cell_length_a 10.7141
_cell_length_b 10.7141
_cell_length_c 3.2596
_cell_angle_alpha 90.00
_cell_angle_beta 90.00
_cell_angle_gamma 90.00
_symmetry_space_group_name_H-M 'I 4/m m m'
_symmetry_Int_Tables_number 139
_symmetry_space_group_name_Hall '-I 4 2'
loop_
_atom_site_label
_atom_site_fract_x
_atom_site_fract_y
_atom_site_fract_z
Ca1 0.0000 0.3159 0.0000
W1 0.0000 0.0000 0.0000
W2 0.1797 0.1797 0.5000
```

Summary of total moment in μB/cell
1.264; 1.652
(order as listed above)
Summary of energy relative to the elements in meV/atom
990; 1091
(order as listed above)